LiEu2Co (PBE-GGA, optimized geometry); E_form = 181 meV per atom; space-group type = Fm-3m, No. 225
1.0
5.1214 0.0000 0.0000
2.5607 4.4353 0.0000
2.5607 1.4784 4.1816
Eu Co Li
2 1 1
Direct
0.2500 0.2500 0.2500
0.7500 0.7500 0.7500
0.5000 0.5000 0.5000
0.0000 0.0000 0.0000



Pm7Tl5In (PBE-GGA, optimized geometry); E_form = -202 meV per atom; space-group type = Imm2, No. 44
1.0
-1.7213 0.1240 -6.5404
1.4550 -7.2693 -4.0187
-7.9233 -2.4900 -1.4598
Pm Tl In
7 5 1
Direct
0.6186 0.3814 0.3814
0.2616 0.7384 0.7384
0.0067 0.3124 0.6742
0.0067 0.6742 0.3124
0.2827 0.2173 0.2173
0.5237 0.8015 0.1511
0.5237 0.1511 0.8015
0.5203 0.0005 0.4754
0.0038 0.0005 0.4754
0.5203 0.4754 0.0005
0.0038 0.4754 0.0005
0.7677 0.7323 0.7323
0.9604 0.0396 0.0396



RbCd3Rh (PBE-GGA, optimized geometry); E_form = 53 meV per atom; space-group type = I-4m2, No. 119
1.0
-5.3137 1.9090 1.6511
-2.3723 -5.0913 -1.7482
-2.5179 -5.0437 8.2081
Rh Rb Cd
2 2 6
Direct
0.0000 0.0000 0.0000
0.2500 0.7500 0.5000
0.5674 0.0674 0.8653
0.9326 0.4326 0.1347
0.6205 0.8745 0.2510
0.1255 0.3795 0.7490
0.1255 0.8716 0.7490
0.1284 0.8745 0.2510
0.2743 0.2743 0.4514
0.7257 0.7257 0.5486



YAs2Pt (PBE-GGA, optimized geometry); E_form = -596 meV per atom; space-group type = I-42d, No. 122
1.0
-2.4139 3.7166 0.4611
-1.9399 -0.7716 -3.9362
-8.5622 -3.1783 2.3210
Y As Pt
2 4 2
Direct
0.5000 0.5000 0.0000
0.2500 0.7500 0.5000
0.7047 0.1250 0.2500
0.0453 0.6250 0.2500
0.3750 0.2953 0.7500
0.8750 0.9547 0.7500
0.0000 0.0000 0.0000
0.7500 0.2500 0.5000



Pu2Al6GaSi (PBE-GGA, optimized geometry); ΔE_f (raw) = -0.44 eV/f.u.; space-group type = Pmmn, No. 59
1.0
-1.0406 5.2566 -0.1886
-3.1894 -0.9439 -8.7103
-7.5359 -1.3874 2.9098
Pu Al Ga Si
4 12 2 2
Direct
0.5000 0.7394 0.2589
0.0000 0.2606 0.7589
0.5000 0.7394 0.7411
0.0000 0.2606 0.2411
0.5000 0.0908 0.2478
0.5000 0.0908 0.7522
0.0000 0.9092 0.2522
0.0000 0.9092 0.7478
0.2486 0.0049 0.5000
0.7514 0.0049 0.5000
0.2478 0.5024 0.5000
0.7522 0.5024 0.5000
0.7478 0.4976 0.0000
0.2522 0.4976 0.0000
0.2514 0.9951 0.0000
0.7486 0.9951 0.0000
0.5000 0.2646 0.5000
0.0000 0.7354 0.0000
0.0000 0.7410 0.5000
0.5000 0.2590 0.0000



TbMgB5O10 (PBE-GGA, optimized geometry); ΔE_f (raw) = -45.82 eV/f.u.; space-group type = P2_1/c, No. 14
1.0
7.6486 0.0000 0.0000
0.0000 8.6542 -0.0144
0.0000 0.5505 9.4079
Tb Mg B O
4 4 20 40
Direct
0.8111 0.1869 0.7604
0.1889 0.8131 0.2396
0.3111 0.3131 0.7396
0.6889 0.6869 0.2604
0.0910 0.8974 0.6273
0.9090 0.1026 0.3727
0.5910 0.6026 0.8727
0.4090 0.3974 0.1273
0.1731 0.0161 0.8954
0.8269 0.9839 0.1046
0.6731 0.4839 0.6046
0.3269 0.5161 0.3954
0.4237 0.9155 0.7419
0.5763 0.0845 0.2581
0.9237 0.5845 0.7581
0.0763 0.4155 0.2419
0.1883 0.5660 0.9116
0.8117 0.4340 0.0884
0.6883 0.9340 0.5884
0.3117 0.0660 0.4116
0.5310 0.2774 0.4454
0.4690 0.7226 0.5546
0.0310 0.2226 0.0546
0.9690 0.7774 0.9454
0.4003 0.8420 0.0047
0.5997 0.1580 0.9953
0.9003 0.6580 0.4953
0.0997 0.3420 0.5047
0.0888 0.5100 0.8036
0.9112 0.4900 0.1964
0.5888 0.9900 0.6964
0.4112 0.0100 0.3036
0.1267 0.6820 0.9916
0.8733 0.3180 0.0084
0.6267 0.8180 0.5084
0.3733 0.1820 0.4916
0.6063 0.3261 0.5826
0.3937 0.6739 0.4174
0.1063 0.1739 0.9174
0.8937 0.8261 0.0826
0.2899 0.0343 0.7692
0.7101 0.9657 0.2308
0.7899 0.4657 0.7308
0.2101 0.5343 0.2692
0.3492 0.4956 0.9269
0.6508 0.5044 0.0731
0.8492 0.0044 0.5731
0.1508 0.9956 0.4269
0.2290 0.4540 0.5203
0.7710 0.5460 0.4797
0.7290 0.0460 0.9797
0.2710 0.9540 0.0203
0.3497 0.8178 0.6341
0.6503 0.1822 0.3659
0.8497 0.6822 0.8659
0.1503 0.3178 0.1341
0.4665 0.8153 0.8727
0.5335 0.1847 0.1273
0.9665 0.6847 0.6273
0.0335 0.3153 0.3727
0.0487 0.2597 0.6241
0.9513 0.7403 0.3759
0.5487 0.2403 0.8759
0.4513 0.7597 0.1241
0.0292 0.9128 0.8518
0.9708 0.0872 0.1482
0.5292 0.5872 0.6482
0.4708 0.4128 0.3518



Np2FeCo3Ge4 (PBE-GGA, optimized geometry); E_form = -255 meV per atom; space-group type = P-4m2, No. 115
1.0
4.0447 0.0000 0.0000
0.0000 4.0447 0.0000
0.0000 0.0000 9.6346
Np Fe Co Ge
2 1 3 4
Direct
0.5000 0.0000 0.2506
0.0000 0.5000 0.7494
0.5000 0.5000 0.5000
0.0000 0.0000 0.5000
0.5000 0.0000 0.8699
0.0000 0.5000 0.1301
0.5000 0.5000 0.0000
0.0000 0.0000 0.0000
0.5000 0.0000 0.6294
0.0000 0.5000 0.3706



LiNdAlGa2 (PBE-GGA, optimized geometry); E_form = -507 meV per atom; space-group type = I-4m2, No. 119
1.0
4.2319 0.0000 0.0000
0.0000 4.2319 0.0000
-2.1159 -2.1159 5.5262
Li Nd Al Ga
1 1 1 2
Direct
0.2500 0.7500 0.5000
0.0000 0.0000 0.0000
0.7500 0.2500 0.5000
0.6130 0.6130 0.2259
0.3870 0.3870 0.7741